Entry 1:
First-principles (PBE) data for a relaxed Be2CoGe crystal, as listed in Alexandria.

E in eV per atom: -4.873
ΔE_f in eV per atom: -0.08
Density of states at the Fermi level in states/eV per cell: 2.0

abc: 3.4624 3.4624 3.4000
angles: 90.00 90.00 90.00
With the nearest neighbours (Å) after each atom.
Space group P4/mmm (No. 123)
Asymmetric unit:
Be: 0.0000 0.5000 0.0000  4 Ge 2.43, 4 Co 2.43, 4 Be 2.45
Co: 0.0000 0.0000 0.5000  8 Be 2.43, 4 Ge 2.45
Ge: 0.5000 0.5000 0.5000  8 Be 2.43, 4 Co 2.45


Entry 2:
First-principles (PBE) data for a relaxed BeCoGe3 crystal, as listed in Alexandria.

E in eV per atom: -4.119
Polymorph energy (0 for the lowest one) in meV/atom: 240
ΔE_f in eV per atom: 0.82
Density of states at the Fermi level in states/eV per cell: 6.0

abc: 4.4086 4.4086 4.4086
angles: 90.00 90.00 90.00
With the nearest neighbours (Å) after each atom.
Space group Pm-3m (No. 221)
Asymmetric unit:
Be: 0.0000 0.0000 0.0000  6 Ge 2.20
Co: 0.5000 0.5000 0.5000  12 Ge 3.12
Ge: 0.0000 0.0000 0.5000  2 Be 2.20


Entry 3:
First-principles (PBE) data for a relaxed Be2Co2Ge crystal, as listed in Alexandria.

E in eV per atom: -5.353
Polymorph energy (0 for the lowest one) in meV/atom: 60
ΔE_f in eV per atom: -0.10
Density of states at the Fermi level in states/eV per cell: 6.5

abc: 6.1345 6.1345 2.7900
angles: 90.00 90.00 90.00
With the nearest neighbours (Å) after each atom.
Space group P4/mbm (No. 127)
Asymmetric unit:
Be: 0.1325 0.3675 0.0000  6 Co 2.27-2.29, 1 Be 2.30
Co: 0.1575 0.6575 0.5000  6 Be 2.27-2.29, 2 Ge 2.31
Ge: 0.0000 0.0000 0.5000  4 Co 2.31


Entry 4:
First-principles (PBE) data for a relaxed Be3CoGe crystal, as listed in Alexandria.

E in eV per atom: -3.390
Polymorph energy (0 for the lowest one) in meV/atom: 623
ΔE_f in eV per atom: 1.19
Density of states at the Fermi level in states/eV per cell: 5.4

abc: 4.1365 4.1365 4.1365
angles: 90.00 90.00 90.00
With the nearest neighbours (Å) after each atom.
Space group Pm-3m (No. 221)
Asymmetric unit:
Be: 0.0000 0.0000 0.5000  2 Ge 2.07
Co: 0.5000 0.5000 0.5000  12 Be 2.92
Ge: 0.0000 0.0000 0.0000  6 Be 2.07


Entry 5:
First-principles (PBE) data for a relaxed BeCo2Ge crystal, as listed in Alexandria.

E in eV per atom: -5.950
Polymorph energy (0 for the lowest one) in meV/atom: 0
ΔE_f in eV per atom: -0.31
Density of states at the Fermi level in states/eV per cell: 7.7

abc: 5.4942 5.4942 5.4942
angles: 90.00 90.00 90.00
With the nearest neighbours (Å) after each atom.
Space group Fm-3m (No. 225)
Asymmetric unit:
Be: 0.0000 0.0000 0.0000  8 Co 2.38
Co: 0.2500 0.2500 0.2500  4 Ge 2.38, 4 Be 2.38
Ge: 0.0000 0.0000 0.5000  8 Co 2.38


Entry 6:
First-principles (PBE) data for a relaxed Be3CoGe crystal, as listed in Alexandria.

E in eV per atom: -4.013
Polymorph energy (0 for the lowest one) in meV/atom: 0
ΔE_f in eV per atom: 0.57
Density of states at the Fermi level in states/eV per cell: 4.9

abc: 3.9939 3.9939 3.9939
angles: 90.00 90.00 90.00
With the nearest neighbours (Å) after each atom.
Space group Pm-3m (No. 221)
Asymmetric unit:
Be: 0.0000 0.0000 0.5000  2 Co 2.00
Co: 0.0000 0.0000 0.0000  6 Be 2.00
Ge: 0.5000 0.5000 0.5000  12 Be 2.82